Density functional theory data (PBE) for a relaxed structure of LaErTmIn.

a = 5.4604 Å, b = 5.4604 Å, c = 5.4604 Å
α = 60.00°, β = 60.00°, γ = 60.00°
Closest atoms and distances in Å follow each position.
Element x y z (fractional)
La1 0.0000 0.0000 0.0000  4 Tm 3.34, 4 Er 3.34
Er1 0.2500 0.2500 0.2500  4 In 3.34, 4 La 3.34
Tm1 0.7500 0.7500 0.7500  4 In 3.34, 4 La 3.34
In1 0.5000 0.5000 0.5000  4 Er 3.34, 4 Tm 3.34

Computed properties:
Volume ... 115.12 Å³ per cell
Calculated total energy ... -4.246 eV/atom
Energy relative to the lowest polymorph listed for this composition ... 28 kJ/mol of formula units
N(E_F) ... 7.18 states/eV/f.u.
Energy of formation from the pure elements ... -0.071 eV per atom


Density functional theory data (PBE) for a relaxed structure of KSb2Mo.

a = 3.3915 Å, b = 3.3915 Å, c = 8.6729 Å
α = 90.00°, β = 90.00°, γ = 90.00°
Closest atoms and distances in Å follow each position.
Element x y z (fractional)
K1 0.0000 0.0000 0.0000  4 K 3.39, 8 Sb 3.63
Sb1 0.5000 0.5000 0.3141  4 Mo 2.89, 1 Sb 3.23
Sb2 0.5000 0.5000 0.6859  4 Mo 2.89, 1 Sb 3.23
Mo1 0.0000 0.0000 0.5000  8 Sb 2.89

Computed properties:
Volume ... 99.76 Å³ per cell
Calculated total energy ... -5.128 eV/atom
E_form (uncorrected) ... -0.08 eV per atom
Energy relative to the lowest polymorph listed for this composition ... 0 kJ/mol of formula units
N(E_F) ... 2.52 states/eV/f.u.


Density functional theory data (PBE) for a relaxed structure of Mg5Ti.

a = 6.0405 Å, b = 6.0405 Å, c = 6.0405 Å
α = 53.26°, β = 53.26°, γ = 53.26°
Closest atoms and distances in Å follow each position.
Element x y z (fractional)
Mg1 0.0000 0.3445 0.6555  10 Mg 3.08-3.23, 2 Ti 3.14
Mg2 0.1634 0.1634 0.1634  3 Ti 3.13, 9 Mg 3.13-3.18
Mg3 0.3445 0.6555 0.0000  10 Mg 3.08-3.23, 2 Ti 3.14
Mg4 0.6555 0.0000 0.3445  10 Mg 3.08-3.23, 2 Ti 3.14
Mg5 0.8366 0.8366 0.8366  3 Ti 3.13, 9 Mg 3.13-3.18
Ti1 0.5000 0.5000 0.5000  12 Mg 3.13-3.14

Computed properties:
Volume ... 131.26 Å³ per cell
Calculated total energy ... -2.491 eV/atom
N(E_F) ... 6.56 states/eV/f.u.
Energy of formation from the pure elements ... 0.154 eV per atom


Density functional theory data (PBE) for a relaxed structure of Ac2PuSe6.

a = 8.1930 Å, b = 8.1930 Å, c = 4.9195 Å
α = 94.94°, β = 94.94°, γ = 56.56°
Closest atoms and distances in Å follow each position.
Element x y z (fractional)
Ac1 0.1672 0.1672 0.1747  8 Se 3.16-3.22
Ac2 0.8328 0.8328 0.8253  8 Se 3.16-3.22
Pu1 0.5000 0.5000 0.5000  8 Se 3.02-3.06
Se1 0.0990 0.5832 0.3300  2 Se 2.94-3.25, 1 Pu 3.02, 3 Ac 3.16-3.18
Se2 0.2655 0.7345 0.0000  2 Se 2.94, 2 Pu 3.06, 2 Ac 3.22
Se3 0.4168 0.9010 0.6700  2 Se 2.94-3.25, 1 Pu 3.02, 3 Ac 3.16-3.18
Se4 0.5832 0.0990 0.3300  2 Se 2.94-3.25, 1 Pu 3.02, 3 Ac 3.16-3.18
Se5 0.7345 0.2655 0.0000  2 Se 2.94, 2 Pu 3.06, 2 Ac 3.22
Se6 0.9010 0.4168 0.6700  2 Se 2.94-3.25, 1 Pu 3.02, 3 Ac 3.16-3.18

Computed properties:
Volume ... 274.24 Å³ per cell
Calculated total energy ... -6.300 eV/atom
E_form (uncorrected) ... -1.47 eV per atom
N(E_F) ... 13.60 states/eV/f.u.


Density functional theory data (PBE) for a relaxed structure of HfTi2VC4.

a = 6.1932 Å, b = 6.1932 Å, c = 6.1932 Å
α = 119.98°, β = 119.80°, γ = 90.19°
Closest atoms and distances in Å follow each position.
Element x y z (fractional)
Hf1 0.0000 0.0000 0.0000  6 C 2.23-2.24
Hf2 0.5000 0.0000 0.5000  6 C 2.23-2.24
Ti1 0.0000 0.5000 0.5000  6 C 2.14-2.15
Ti2 0.5000 0.0000 0.0000  6 C 2.21-2.22
Ti3 0.5000 0.5000 0.0000  6 C 2.14-2.15
Ti4 0.5000 0.5000 0.5000  6 C 2.21-2.22
V1 0.0000 0.0000 0.5000  6 C 2.16-2.17
V2 0.0000 0.5000 0.0000  6 C 2.16-2.17
C1 0.2391 0.7452 0.4939  3 Ti 2.14-2.22, 2 V 2.17, 1 Hf 2.23
C2 0.2469 0.2565 0.5096  3 Ti 2.15-2.21, 1 V 2.16, 2 Hf 2.24
C3 0.2469 0.7373 0.9904  3 Ti 2.15-2.21, 1 V 2.16, 2 Hf 2.24
C4 0.2487 0.2548 0.9939  3 Ti 2.14-2.22, 2 V 2.17, 1 Hf 2.23
C5 0.7513 0.7452 0.0061  3 Ti 2.14-2.22, 2 V 2.17, 1 Hf 2.23
C6 0.7531 0.2627 0.0096  3 Ti 2.15-2.21, 1 V 2.16, 2 Hf 2.24
C7 0.7531 0.7435 0.4904  3 Ti 2.15-2.21, 1 V 2.16, 2 Hf 2.24
C8 0.7609 0.2548 0.5061  3 Ti 2.14-2.22, 2 V 2.17, 1 Hf 2.23

Computed properties:
Volume ... 168.24 Å³ per cell
Calculated total energy ... -9.655 eV/atom
N(E_F) ... 2.44 states/eV/f.u.
Energy of formation from the pure elements ... -0.686 eV per atom


Density functional theory data (PBE) for a relaxed structure of BaMgP2.

a = 4.9635 Å, b = 4.9635 Å, c = 4.6874 Å
α = 90.00°, β = 90.00°, γ = 90.00°
Closest atoms and distances in Å follow each position.
Element x y z (fractional)
Ba1 0.0000 0.0000 0.0000  8 P 3.41-3.42
Mg1 0.5000 0.5000 0.5038  4 P 2.48
P1 0.0000 0.5000 0.4992  2 Mg 2.48
P2 0.5000 0.0000 0.4992  2 Mg 2.48

Computed properties:
Volume ... 115.48 Å³ per cell
Calculated total energy ... -4.026 eV/atom
N(E_F) ... 1.84 states/eV/f.u.
Energy of formation from the pure elements ... -0.442 eV per atom


Density functional theory data (PBE) for a relaxed structure of Ni2AsS.

a = 4.2133 Å, b = 4.2133 Å, c = 4.2133 Å
α = 60.00°, β = 60.00°, γ = 60.00°
Closest atoms and distances in Å follow each position.
Element x y z (fractional)
Ni1 0.2500 0.2500 0.2500  4 S 2.58, 4 As 2.58
Ni2 0.7500 0.7500 0.7500  4 S 2.58, 4 As 2.58
As1 0.0000 0.0000 0.0000  8 Ni 2.58
S1 0.5000 0.5000 0.5000  8 Ni 2.58

Computed properties:
Volume ... 52.89 Å³ per cell
Calculated total energy ... -5.020 eV/atom
E_form (uncorrected) ... 0.06 eV per atom
Energy relative to the lowest polymorph listed for this composition ... 107 kJ/mol of formula units
N(E_F) ... 1.41 states/eV/f.u.


Density functional theory data (PBE) for a relaxed structure of Zr6MnIr5.

a = 4.6447 Å, b = 6.6375 Å, c = 7.3247 Å
α = 90.00°, β = 108.15°, γ = 90.00°
Closest atoms and distances in Å follow each position.
Element x y z (fractional)
Zr1 0.0000 0.2470 0.0000  6 Ir 2.83-2.89, 2 Mn 2.84
Zr2 0.0000 0.7530 0.0000  6 Ir 2.83-2.89, 2 Mn 2.84
Zr3 0.3355 0.2489 0.6711  1 Mn 2.82, 7 Ir 2.83-2.88
Zr4 0.3355 0.7511 0.6711  1 Mn 2.82, 7 Ir 2.83-2.88
Zr5 0.6645 0.2489 0.3289  1 Mn 2.82, 7 Ir 2.83-2.88
Zr6 0.6645 0.7511 0.3289  1 Mn 2.82, 7 Ir 2.83-2.88
Mn1 0.5000 0.0000 0.0000  8 Zr 2.82-2.84
Ir1 0.1659 0.0000 0.3315  8 Zr 2.83-2.88
Ir2 0.1694 0.5000 0.3379  8 Zr 2.86-2.89
Ir3 0.5000 0.5000 0.0000  8 Zr 2.83-2.87
Ir4 0.8306 0.5000 0.6621  8 Zr 2.86-2.89
Ir5 0.8341 0.0000 0.6685  8 Zr 2.83-2.88

Computed properties:
Volume ... 214.57 Å³ per cell
Calculated total energy ... -9.409 eV/atom
N(E_F) ... 9.09 states/eV/f.u.
Energy of formation from the pure elements ... -0.679 eV per atom